A relaxed GaFe3 crystal. Source: Alexandria via LeMat-Bulk, functional PBE.

```
data_GaFe3
_chemical_formula_sum 'Ga1 Fe3'
_space_group_name_H-M_alt 'P m -3 m'
_space_group_IT_number 221
_space_group_name_Hall '-P 4 2 3'
_cell_length_a 3.6536
_cell_length_b 3.6536
_cell_length_c 3.6536
_cell_angle_alpha 90.00
_cell_angle_beta 90.00
_cell_angle_gamma 90.00
loop_
_atom_site_label
_atom_site_fract_x
_atom_site_fract_y
_atom_site_fract_z
_atom_site_occupancy
Ga1 0.0000 0.0000 0.0000 1
Fe1 0.0000 0.5000 0.5000 1
```

Calculated values
ΔH_f (0 K), eV per atom: -0.127
M_tot, μB per formula unit: 6.99

A relaxed Sr2AgF8 crystal. Source: Alexandria via LeMat-Bulk, functional PBE.

```
data_Sr2AgF8
_chemical_formula_sum 'Sr4 Ag2 F16'
_space_group_name_H-M_alt 'C 1 2/m 1'
_space_group_IT_number 12
_space_group_name_Hall '-C 2y'
_cell_length_a 14.3101
_cell_length_b 4.4328
_cell_length_c 5.1307
_cell_angle_alpha 90.00
_cell_angle_beta 111.00
_cell_angle_gamma 90.00
loop_
_atom_site_label
_atom_site_fract_x
_atom_site_fract_y
_atom_site_fract_z
_atom_site_occupancy
Sr1 0.1709 0.0000 0.1710 1
Ag1 0.0000 0.5000 0.5000 1
F1 0.0001 0.0000 0.2355 1
F2 0.1143 0.5000 0.3659 1
F3 0.1137 0.5000 0.8637 1
F4 0.2245 0.0000 0.7250 1
```

Calculated values
ΔE_f (raw), eV/atom: -2.48
M_tot, μB per formula unit: 1.05

A relaxed ZrCr2Fe crystal. Source: Alexandria via LeMat-Bulk, functional PBE.

```
data_ZrCr2Fe
_chemical_formula_sum 'Zr2 Cr4 Fe2'
_space_group_name_H-M_alt 'I m m m'
_space_group_IT_number 71
_space_group_name_Hall '-I 2 2'
_cell_length_a 3.0384
_cell_length_b 4.1985
_cell_length_c 8.7056
_cell_angle_alpha 90.00
_cell_angle_beta 90.00
_cell_angle_gamma 90.00
loop_
_atom_site_label
_atom_site_fract_x
_atom_site_fract_y
_atom_site_fract_z
_atom_site_occupancy
Zr1 0.0000 0.0000 0.0000 1
Cr1 0.0000 0.5000 0.2413 1
Fe1 0.0000 0.0000 0.5000 1
```

Calculated values
ΔH_f (0 K), eV per atom: 0.244
M_tot, μB per formula unit: 0.76
Energy above the lowest structure with this stoichiometry, meV/atom: 112

A relaxed HgTeAs2O crystal. Source: Alexandria via LeMat-Bulk, functional PBE.

```
data_HgTeAs2O
_chemical_formula_sum 'Hg1 Te1 As2 O1'
_space_group_name_H-M_alt 'P 4/m m m'
_space_group_IT_number 123
_space_group_name_Hall '-P 4 2'
_cell_length_a 5.4892
_cell_length_b 5.4892
_cell_length_c 3.9518
_cell_angle_alpha 90.00
_cell_angle_beta 90.00
_cell_angle_gamma 90.00
loop_
_atom_site_label
_atom_site_fract_x
_atom_site_fract_y
_atom_site_fract_z
_atom_site_occupancy
Hg1 0.0000 0.0000 0.0000 1
Te1 0.5000 0.5000 0.5000 1
As1 0.0000 0.5000 0.5000 1
O1 0.5000 0.5000 0.0000 1
```

Calculated values
ΔE_f (raw), eV/atom: 0.34
M_tot, μB per formula unit: 0.00

- Which formula does entry 3 have?
  ZrCr2Fe